# 1
VASP calculation (PBE-GGA) on an optimized crystal structure of ZrPa2O7.

## Properties
The value obtained for the magnetic moment is 0.0 μB per cell. The formation energy from raw total energies is -3.476 eV/atom. The total energy is -9.701 eV per atom.

a = 3.8439 Å, b = 3.8439 Å, c = 30.6283 Å
α = 90.00°, β = 90.00°, γ = 120.00°
With the nearest neighbours (Å) after each atom.
Space group R-3m (No. 166, hexagonal axes)
Unique sites:
Zr 0.0000 0.0000 0.0000 [3 per cell]  8 O 2.15-2.32
Pa 0.0000 0.0000 0.4313 [6 per cell]  5 O 2.10-2.34
O 0.0000 0.0000 0.0701 [6 per cell]  1 Zr 2.15, 3 Pa 2.38
O 0.0000 0.0000 0.2222 [6 per cell]  3 Pa 2.26
O 0.0000 0.0000 0.3549 [6 per cell]  3 Zr 2.32, 1 Pa 2.34, 3 O 2.58
O 0.0000 0.0000 0.5000 [3 per cell]  2 Pa 2.10


# 2
VASP calculation (PBE-GGA) on an optimized crystal structure of YPtSe.

## Properties
The value obtained for the magnetic moment is 0.0 μB per cell. The formation energy from raw total energies is -1.125 eV/atom. The total energy is -6.455 eV per atom.

a = 4.3914 Å, b = 4.3914 Å, c = 3.7308 Å
α = 90.00°, β = 90.00°, γ = 120.00°
With the nearest neighbours (Å) after each atom.
Space group P3m1 (No. 156)
Unique sites:
Y 0.0000 0.0000 0.0000 [1 per cell]  6 Se 3.15, 6 Pt 3.15
Pt 0.6667 0.3333 0.4992 [1 per cell]  3 Se 2.54
Se 0.3333 0.6667 0.5011 [1 per cell]  3 Pt 2.54


# 3
VASP calculation (PBE-GGA) on an optimized crystal structure of CeNdTm2.

## Properties
For the energy of formation, the calculation gives 0.05 eV per atom. The value obtained for the magnetic moment is 2.0 μB per cell. The total energy is -4.860 eV per atom.

a = 3.5329 Å, b = 3.5329 Å, c = 34.3419 Å
α = 90.00°, β = 90.00°, γ = 120.00°
With the nearest neighbours (Å) after each atom.
Space group R-3m (No. 166, hexagonal axes)
Unique sites:
Ce 0.0000 0.0000 0.0000 [3 per cell]  6 Tm 3.46, 6 Ce 3.53
Nd 0.0000 0.0000 0.5000 [3 per cell]  6 Nd 3.53, 6 Tm 3.57
Tm 0.0000 0.0000 0.2520 [6 per cell]  3 Ce 3.46, 6 Tm 3.53, 3 Nd 3.57


# 4
VASP calculation (PBE-GGA) on an optimized crystal structure of SrReW2.

## Properties
For the energy of formation, the calculation gives 0.95 eV per atom. The value obtained for the magnetic moment is 0.0 μB per cell. The total energy is -9.056 eV per atom.

a = 2.9359 Å, b = 2.9359 Å, c = 30.3593 Å
α = 90.00°, β = 90.00°, γ = 120.00°
With the nearest neighbours (Å) after each atom.
Space group R-3m (No. 166, hexagonal axes)
Unique sites:
Sr 0.0000 0.0000 0.0000 [3 per cell]  6 Sr 2.94
Re 0.0000 0.0000 0.5000 [3 per cell]  6 W 2.73, 6 Re 2.94
W 0.0000 0.0000 0.2373 [6 per cell]  3 Re 2.73, 6 W 2.94


# 5
VASP calculation (PBE-GGA) on an optimized crystal structure of Nd2NiCl.

## Properties
The value obtained for the magnetic moment is 0.0 μB per cell. The formation energy from raw total energies is -0.743 eV/atom. The total energy is -5.034 eV per atom.

a = 3.4210 Å, b = 3.4210 Å, c = 8.0399 Å
α = 90.00°, β = 90.00°, γ = 90.00°
With the nearest neighbours (Å) after each atom.
Space group P4/mmm (No. 123)
Unique sites:
Nd 0.0000 0.0000 0.2152 [2 per cell]  4 Ni 2.97
Ni 0.5000 0.5000 0.0000 [1 per cell]  8 Nd 2.97
Cl 0.5000 0.5000 0.5000 [1 per cell]  8 Nd 3.33, 4 Cl 3.42


# 6
VASP calculation (PBE-GGA) on an optimized crystal structure of LuScSnPd.

## Properties
For the energy of formation, the calculation gives -0.73 eV per atom. The value obtained for the magnetic moment is 0.1 μB per cell. The total energy is -5.743 eV per atom.

a = 7.0214 Å, b = 7.0214 Å, c = 7.0214 Å
α = 90.00°, β = 90.00°, γ = 90.00°
With the nearest neighbours (Å) after each atom.
Space group F-43m (No. 216)
Unique sites:
Lu 0.0000 0.0000 0.0000 [4 per cell]  4 Sn 3.04, 4 Pd 3.04
Sc 0.0000 0.0000 0.5000 [4 per cell]  4 Pd 3.04, 4 Sn 3.04
Sn 0.2500 0.2500 0.7500 [4 per cell]  4 Sc 3.04, 4 Lu 3.04
Pd 0.2500 0.2500 0.2500 [4 per cell]  4 Sc 3.04, 4 Lu 3.04


# 7
VASP calculation (PBE-GGA) on an optimized crystal structure of HoNiRhAu.

## Properties
For the energy of formation, the calculation gives -0.41 eV per atom. The value obtained for the magnetic moment is 0.0 μB per cell. The total energy is -5.660 eV per atom.

a = 6.4857 Å, b = 6.4857 Å, c = 6.4857 Å
α = 90.00°, β = 90.00°, γ = 90.00°
With the nearest neighbours (Å) after each atom.
Space group F-43m (No. 216)
Unique sites:
Ho 0.0000 0.0000 0.0000 [4 per cell]  4 Ni 2.81, 4 Rh 2.81
Ni 0.2500 0.2500 0.2500 [4 per cell]  4 Ho 2.81, 4 Au 2.81
Rh 0.2500 0.2500 0.7500 [4 per cell]  4 Ho 2.81, 4 Au 2.81
Au 0.0000 0.0000 0.5000 [4 per cell]  4 Rh 2.81, 4 Ni 2.81


# 8
VASP calculation (PBE-GGA) on an optimized crystal structure of Pm10NdEr4.

## Properties
For the energy of formation, the calculation gives 0.44 eV per atom. The value obtained for the magnetic moment is 0.0 μB per cell. The total energy is -4.257 eV per atom.

a = 9.9513 Å, b = 9.9513 Å, c = 10.8017 Å
α = 90.00°, β = 90.00°, γ = 90.00°
With the nearest neighbours (Å) after each atom.
Space group I4/m (No. 87)
Unique sites:
Pm 0.0000 0.5000 0.2500 [4 per cell]  4 Pm 3.09
Pm 0.1177 0.2257 0.1704 [16 per cell]  2 Pm 3.09-3.18, 1 Nd 3.13
Nd 0.0000 0.0000 0.0000 [2 per cell]  8 Pm 3.13
Er 0.0574 0.2785 0.5000 [8 per cell]  8 Pm 3.53-3.92


# 9
VASP calculation (PBE-GGA) on an optimized crystal structure of LaSb2Rh.

## Properties
The value obtained for the magnetic moment is 0.0 μB per cell. The formation energy from raw total energies is -0.442 eV/atom. The total energy is -5.572 eV per atom.

a = 3.4557 Å, b = 3.4557 Å, c = 7.8222 Å
α = 90.00°, β = 90.00°, γ = 90.00°
With the nearest neighbours (Å) after each atom.
Space group P4/mmm (No. 123)
Unique sites:
La 0.0000 0.0000 0.0000 [1 per cell]  8 Sb 3.39, 4 La 3.46
Sb 0.5000 0.5000 0.3008 [2 per cell]  4 Rh 2.90, 1 Sb 3.12
Rh 0.0000 0.0000 0.5000 [1 per cell]  8 Sb 2.90


# 10
VASP calculation (PBE-GGA) on an optimized crystal structure of RbScPb.

## Properties
For the energy of formation, the calculation gives 0.00 eV per atom. The value obtained for the magnetic moment is 0.0 μB per cell. The total energy is -3.673 eV per atom.

a = 3.6823 Å, b = 4.6990 Å, c = 6.9525 Å
α = 90.00°, β = 90.00°, γ = 90.00°
With the nearest neighbours (Å) after each atom.
Space group Pmmm (No. 47)
Unique sites:
Rb 0.0000 0.0000 0.0000 [1 per cell]  2 Rb 3.68, 4 Pb 3.93
Sc 0.0000 0.5000 0.5000 [1 per cell]  4 Pb 2.98
Pb 0.5000 0.0000 0.5000 [1 per cell]  4 Sc 2.98


# 11
VASP calculation (PBE-GGA) on an optimized crystal structure of Pm2AuBr2.

## Properties
The value obtained for the magnetic moment is 1.4 μB per cell. The formation energy from raw total energies is -1.313 eV/atom. The total energy is -4.538 eV per atom.

a = 4.1278 Å, b = 4.1278 Å, c = 33.5756 Å
α = 90.00°, β = 90.00°, γ = 120.00°
With the nearest neighbours (Å) after each atom.
Space group R-3m (No. 166, hexagonal axes)
Unique sites:
Pm 0.0000 0.0000 0.1119 [6 per cell]  3 Au 3.01, 3 Br 3.04
Au 0.0000 0.0000 0.5000 [3 per cell]  6 Pm 3.01
Br 0.0000 0.0000 0.2777 [6 per cell]  3 Pm 3.04


# 12
VASP calculation (PBE-GGA) on an optimized crystal structure of TiNbC.

## Properties
For the energy of formation, the calculation gives -0.53 eV per atom. The value obtained for the magnetic moment is 0.0 μB per cell. The total energy is -9.597 eV per atom.

a = 3.1316 Å, b = 3.1316 Å, c = 29.3504 Å
α = 90.00°, β = 90.00°, γ = 120.00°
With the nearest neighbours (Å) after each atom.
Space group R-3m (No. 166, hexagonal axes)
Unique sites:
Ti 0.0000 0.0000 0.1237 [6 per cell]  3 C 2.11
Nb 0.0000 0.0000 0.3773 [6 per cell]  3 C 2.20
C 0.0000 0.0000 0.2468 [6 per cell]  3 Ti 2.11, 3 Nb 2.20


# 13
VASP calculation (PBE-GGA) on an optimized crystal structure of In2Ga2Au.

## Properties
For the energy of formation, the calculation gives -0.07 eV per atom. The value obtained for the magnetic moment is 0.0 μB per cell. The total energy is -3.027 eV per atom.

a = 6.7352 Å, b = 6.7352 Å, c = 4.9727 Å
α = 90.00°, β = 90.00°, γ = 90.00°
With the nearest neighbours (Å) after each atom.
Space group P4/mbm (No. 127)
Unique sites:
In 0.1757 0.3243 0.0000 [4 per cell]  6 Ga 3.06-3.27, 1 In 3.35
Ga 0.1370 0.6370 0.5000 [4 per cell]  1 Ga 2.61, 2 Au 2.61
Au 0.0000 0.0000 0.5000 [2 per cell]  4 Ga 2.61